(1)
Here is crystalline Fe4Ag at its relaxed geometry from Alexandria via LeMat-Bulk. Energies are from PBE.

a = 3.721 Å, b = 3.721 Å, c = 9.525 Å
α = 90.00°, β = 90.00°, γ = 90.00°
Space group I4/mmm (No. 139)
Symmetry-distinct sites (fractional):
Fe 0.000 0.000 0.110 x4
Fe 0.000 0.500 0.250 x4
Ag 0.000 0.000 0.500 x2

Results
Formation enthalpy at 0 K in meV per atom: 551

***

(2)
Here is crystalline Hf3Sb2H at its relaxed geometry from Alexandria via LeMat-Bulk. Energies are from PBE.

a = 7.236 Å, b = 3.976 Å, c = 16.005 Å
α = 90.00°, β = 90.00°, γ = 90.00°
Space group Pnma (No. 62)
Symmetry-distinct sites (fractional):
Hf 0.043 0.250 0.128 x4
Hf 0.123 0.250 0.561 x4
Hf 0.229 0.750 0.270 x4
Sb 0.043 0.750 0.689 x4
Sb 0.217 0.250 0.951 x4
H 0.150 0.750 0.141 x4

Results
Total energy in eV per atom: -7.363

***

(3)
Here is crystalline Pm6Si2AsS3 at its relaxed geometry from Alexandria via LeMat-Bulk. Energies are from PBE.

a = 18.084 Å, b = 4.156 Å, c = 8.307 Å
α = 90.00°, β = 103.01°, γ = 90.00°
Space group C2/m (No. 12)
Symmetry-distinct sites (fractional):
Pm 0.002 0.000 0.252 x4
Pm 0.167 0.500 0.087 x4
Pm 0.167 0.500 0.583 x4
Si 0.167 0.000 0.334 x4
As 0.000 0.500 0.000 x2
S 0.000 0.500 0.500 x2
S 0.166 0.000 0.834 x4

Results
ΔE_f (raw) in eV/atom: -1.53

***

Calculated values (states/eV per atom) of Fermi-level density of states for the records, taken in order: 1.0030 0.6132 0.1947.